The following is a PBE calculation of an optimized crystal structure of YMnPH, from the Alexandria database.

```
8
Lattice="3.705 0.000 0.000 0.000 3.705 0.000 0.000 0.000 7.928" Properties=species:S:1:pos:R:3 pbc="T T T"
Y 0.926 0.926 1.351
Y 2.779 2.779 6.577
Mn 0.926 2.779 3.964
Mn 2.779 0.926 3.964
P 0.926 0.926 5.338
P 2.779 2.779 2.590
H 0.926 2.779 0.000
H 2.779 0.926 0.000
```

Output
- Space-group type: P4/nmm (129)
- Density: 5.37 Mg/m³
- Energy: -7.02 eV/atom
- Crystal system: tetragonal



The following is a PBE calculation of an optimized crystal structure of ZrMnPH, from the Alexandria database.

```
8
Lattice="3.587 0.000 0.000 0.000 3.587 0.000 0.000 0.000 7.422" Properties=species:S:1:pos:R:3 pbc="T T T"
Zr 0.897 0.897 1.244
Zr 2.690 2.690 6.178
Mn 0.897 2.690 3.711
Mn 2.690 0.897 3.711
P 0.897 0.897 5.167
P 2.690 2.690 2.255
H 0.897 2.690 0.000
H 2.690 0.897 0.000
```

Output
- Space-group type: P4/nmm (129)
- Density: 6.20 Mg/m³
- Energy: -7.39 eV/atom
- Crystal system: tetragonal



The following is a PBE calculation of an optimized crystal structure of PaMnH6, from the Alexandria database.

```
8
Lattice="3.706 -2.136 0.000 3.706 2.136 0.000 -2.459 0.000 3.492" Properties=species:S:1:pos:R:3 pbc="T T T"
Pa 0.000 0.000 0.000
Mn 2.476 0.000 1.746
H 1.782 1.194 0.940
H 1.098 0.000 2.557
H 3.170 1.194 2.552
H 1.782 -1.194 0.940
H 3.855 0.000 0.935
H 3.170 -1.194 2.552
```

Output
- Space-group type: C2/m (12)
- Density: 8.77 Mg/m³
- Energy: -5.12 eV/atom
- Crystal system: monoclinic



The following is a PBE calculation of an optimized crystal structure of PaMnH4, from the Alexandria database.

```
12
Lattice="1.958 -5.816 0.000 1.958 5.816 0.000 0.000 0.000 4.357" Properties=species:S:1:pos:R:3 pbc="T T T"
Pa 1.958 4.259 3.267
Pa 1.958 -4.259 1.089
Mn 1.958 1.219 3.267
Mn 1.958 -1.219 1.089
H 1.958 4.860 1.089
H 1.958 2.331 0.098
H 1.958 2.331 2.081
H 1.958 0.000 0.000
H 1.958 0.000 2.178
H 1.958 -2.331 2.276
H 1.958 -2.331 4.259
H 1.958 -4.860 3.267
```

Output
- Space-group type: Cmcm (63)
- Distance to the lowest polymorph of the same formula: 0 meV per atom
- Density: 9.71 Mg/m³
- Crystal system: orthorhombic



- density of number 4 (PaMnH4)?
  9.71 Mg/m³



- Number 3 is which compound?
  PaMnH6



- What is the density in the fourth record?
  9.71 Mg/m³



- Which formula does entry 4 have?
  PaMnH4